Record 1
A relaxed structure of RbLiCd2Ag. Source: the Alexandria database, functional PBE.

Values from the calculation:
As for the mass density: 4482 kg/m³. The calculation puts the formation energy at 3 kJ/mol of formula units. The calculation puts the spin magnetization at 0.0 Bohr magnetons per cell. The value obtained for the volume is 31.50 Å³/atom. The symmetry is No. 123. For the energy, the calculation gives -1.506 eV/atom.

Lattice parameters (Å, degrees): 5.4598 5.4598 5.2833 90.00 90.00 90.00
Positions (direct):
Li 0.0000 0.0000 0.5000
Rb 0.5000 0.5000 0.5000
Ag 0.0000 0.0000 0.0000
Cd 0.0000 0.5000 0.0000
Cd 0.5000 0.0000 0.0000

Record 2
A relaxed structure of Cs3NdSm2S6. Source: the Alexandria database, functional PBE.

Values from the calculation:
As for the mass density: 4603 kg/m³. The calculation puts the spin magnetization at 0.0 Bohr magnetons per cell. As for the uncorrected formation energy: -21.79 eV/f.u. The value obtained for the volume is 31.15 Å³/atom. The symmetry is No. 12. For the energy, the calculation gives -5.277 eV/atom.

Lattice parameters (Å, degrees): 7.3019 7.3019 8.4521 98.28 98.28 120.00
Positions (direct):
S 0.7254 0.7254 0.1853
S 0.3982 0.0618 0.1854
S 0.9382 0.6018 0.8146
Sm 0.6667 0.3333 0.0000
Cs 0.8336 0.1664 0.5000
S 0.0618 0.3982 0.1854
Sm 0.3333 0.6667 0.0000
Cs 0.1664 0.8336 0.5000
S 0.6018 0.9382 0.8146
Nd 0.0000 0.0000 0.0000
S 0.2746 0.2746 0.8147
Cs 0.5000 0.5000 0.5000

Record 3
A relaxed structure of SiTcAg2. Source: the Alexandria database, functional PBE.

Values from the calculation:
As for the mass density: 8685 kg/m³. The calculation puts the spin magnetization at 0.0 Bohr magnetons per cell. As for the uncorrected formation energy: 1.92 eV/f.u. The value obtained for the volume is 16.34 Å³/atom. The symmetry is No. 123. For the energy, the calculation gives -4.892 eV/atom.

Lattice parameters (Å, degrees): 2.6859 2.6859 9.0597 90.00 90.00 90.00
Positions (direct):
Ag 0.0000 0.0000 0.0001
Tc 0.5000 0.5000 0.7500
Si 0.5000 0.5000 0.2500
Ag 0.0000 0.0000 0.4999

Record 4
A relaxed structure of NpTl3Br2F6. Source: the Alexandria database, functional PBE.

Values from the calculation:
As for the mass density: 5543 kg/m³. The calculation puts the spin magnetization at 2.0 Bohr magnetons per cell. As for the uncorrected formation energy: -26.94 eV/f.u. The value obtained for the volume is 28.06 Å³/atom. The symmetry is No. 12. For the energy, the calculation gives -5.130 eV/atom.

Lattice parameters (Å, degrees): 4.9941 8.1077 9.2535 115.98 88.67 90.00
Positions (direct):
Br 0.9816 0.3057 0.6114
F 0.7422 0.8557 0.0869
F 0.2578 0.1443 0.9131
F 0.7422 0.2312 0.0869
F 0.6871 0.8869 0.7737
Br 0.0184 0.6943 0.3886
F 0.2578 0.7688 0.9131
Tl 0.5000 0.0000 0.5000
F 0.3129 0.1131 0.2263
Np 0.5000 0.0000 0.0000
Tl 0.5000 0.5000 0.5000
Tl 0.0000 0.5000 0.0000